First-principles (PBE) data for a relaxed structure of ZnRe, as listed in the Alexandria database.

```
data_ZnRe
_chemical_formula_sum 'Zn4 Re4'
_cell_length_a 6.9129
_cell_length_b 6.9129
_cell_length_c 6.9129
_cell_angle_alpha 109.47
_cell_angle_beta 109.47
_cell_angle_gamma 109.47
_symmetry_space_group_name_H-M 'P 1'
_symmetry_Int_Tables_number 1
loop_
_symmetry_equiv_pos_as_xyz
'x,y,z'
loop_
_atom_site_label
_atom_site_fract_x
_atom_site_fract_y
_atom_site_fract_z
_atom_site_occupancy
Zn1 0.0000 0.0000 0.5938 1
Zn2 0.0000 0.5938 0.0000 1
Zn3 0.4062 0.4062 0.4062 1
Zn4 0.5938 0.0000 0.0000 1
Re1 0.0000 0.0000 0.2215 1
Re2 0.0000 0.2215 0.0000 1
Re3 0.2215 0.0000 0.0000 1
Re4 0.7785 0.7785 0.7785 1
```

Calculated values
calculated volume = 64 Å³/f.u.

First-principles (PBE) data for a relaxed structure of ZnRe4, as listed in the Alexandria database.

```
data_ZnRe4
_chemical_formula_sum 'Zn1 Re4'
_cell_length_a 4.7739
_cell_length_b 4.7739
_cell_length_c 4.7739
_cell_angle_alpha 99.64
_cell_angle_beta 99.64
_cell_angle_gamma 131.69
_symmetry_space_group_name_H-M 'P 1'
_symmetry_Int_Tables_number 1
loop_
_symmetry_equiv_pos_as_xyz
'x,y,z'
loop_
_atom_site_label
_atom_site_fract_x
_atom_site_fract_y
_atom_site_fract_z
_atom_site_occupancy
Zn1 0.0000 0.0000 0.0000 1
Re1 0.2030 0.5870 0.7900 1
Re2 0.4130 0.2030 0.6159 1
Re3 0.5870 0.7970 0.3841 1
Re4 0.7970 0.4130 0.2100 1
```

Calculated values
calculated volume = 74 Å³/f.u.

First-principles (PBE) data for a relaxed structure of Zn2Re, as listed in the Alexandria database.

```
data_Zn2Re
_chemical_formula_sum 'Zn2 Re1'
_cell_length_a 5.0111
_cell_length_b 5.0111
_cell_length_c 5.0111
_cell_angle_alpha 149.01
_cell_angle_beta 138.12
_cell_angle_gamma 53.00
_symmetry_space_group_name_H-M 'P 1'
_symmetry_Int_Tables_number 1
loop_
_symmetry_equiv_pos_as_xyz
'x,y,z'
loop_
_atom_site_label
_atom_site_fract_x
_atom_site_fract_y
_atom_site_fract_z
_atom_site_occupancy
Zn1 0.1708 0.1708 0.0000 1
Zn2 0.8292 0.8292 0.0000 1
Re1 0.5000 0.5000 0.0000 1
```

Calculated values
calculated volume = 43 Å³/f.u.

Summary of energy relative to the lowest polymorph listed for this composition in eV/atom
1.6533 0.0000 0.1611
(order as listed above)
Summary of M_tot in μB per formula unit
1.21 0.00 0.00
(order as listed above)
Summary of formation energy from the elements in eV per atom
1.670 0.176 0.317
(order as listed above)